# PrHo2Er2Sc2 | Alexandria | PBE | optimized geometry
data_PrHo2Er2Sc2
_chemical_formula_sum 'Pr1 Ho2 Er2 Sc2'
_symmetry_space_group_name_H-M 'P 1'
_symmetry_Int_Tables_number 1
_cell_length_a 8.776
_cell_length_b 8.776
_cell_length_c 8.165
_cell_angle_alpha 115.86
_cell_angle_beta 115.86
_cell_angle_gamma 22.25
loop_
_symmetry_equiv_pos_as_xyz
'x,y,z'
loop_
_atom_site_label
_atom_site_type_symbol
_atom_site_fract_x
_atom_site_fract_y
_atom_site_fract_z
Pr1 Pr 0.000 0.000 0.000
Ho1 Ho 0.427 0.427 0.581
Ho2 Ho 0.573 0.573 0.419
Er1 Er 0.212 0.212 0.292
Er2 Er 0.788 0.788 0.708
Sc1 Sc 0.348 0.348 0.107
Sc2 Sc 0.652 0.652 0.893
# - electronic total energy (eV/atom) = -4.92

=====

# Pr2HoEr4Sc | Alexandria | PBE | optimized geometry
data_Pr2HoEr4Sc
_chemical_formula_sum 'Pr2 Ho1 Er4 Sc1'
_symmetry_space_group_name_H-M 'P 1'
_symmetry_Int_Tables_number 1
_cell_length_a 5.013
_cell_length_b 5.013
_cell_length_c 9.930
_cell_angle_alpha 90.00
_cell_angle_beta 90.00
_cell_angle_gamma 90.00
loop_
_symmetry_equiv_pos_as_xyz
'x,y,z'
loop_
_atom_site_label
_atom_site_type_symbol
_atom_site_fract_x
_atom_site_fract_y
_atom_site_fract_z
Pr1 Pr 0.000 0.000 0.000
Pr2 Pr 0.500 0.500 0.500
Ho1 Ho 0.000 0.000 0.500
Er1 Er 0.000 0.500 0.246
Er2 Er 0.000 0.500 0.754
Er3 Er 0.500 0.000 0.246
Er4 Er 0.500 0.000 0.754
Sc1 Sc 0.500 0.500 0.000
# - electronic total energy (eV/atom) = -4.80

=====

Which of these has the highest electronic total energy? Pr2HoEr4Sc